No. 1
## Tm2FeRh (PBE-GGA)

Data for a relaxed structure of Tm2FeRh.

The space group is P4/mmm (No. 123) and the conventional cell measures 3.327, 3.327 and 6.682 Å, with angles of 90.00, 90.00 and 90.00 degrees. Symmetry generates all atoms from Tm at (0.000, 0.000, 0.243), Fe at (0.500, 0.500, 0.000) and Rh at (0.500, 0.500, 0.500).

The value obtained for the energy above the lowest structure with this stoichiometry is 0.000 eV per atom. The formation energy is -0.4145 eV/atom.

=====

No. 2
## Pr2NdHo4Th (PBE-GGA)

Data for a relaxed structure of Pr2NdHo4Th.

The space group is P2/m (No. 10) and the conventional cell measures 5.128, 5.139 and 9.989 Å, with angles of 90.00, 90.05 and 90.00 degrees. Symmetry generates all atoms from Pr at (0.000, 0.000, 0.000), Pr at (0.500, 0.500, 0.500), Nd at (0.000, 0.000, 0.500), Ho at (0.000, 0.500, 0.245), Ho at (0.500, 0.000, 0.245) and Th at (0.500, 0.500, 0.000).

The formation energy is 0.0297 eV/atom.

=====

No. 3
## Ca2AcTmHg4 (PBE-GGA)

Data for a relaxed structure of Ca2AcTmHg4.

The space group is R-3m (No. 166, hexagonal axes) and the conventional cell measures 5.3758, 5.3758 and 26.9271 Å, with angles of 90.00, 90.00 and 120.00 degrees. Symmetry generates all atoms from Ca at (0.0000, 0.0000, 0.2466), Ac at (0.0000, 0.0000, 0.0000), Tm at (0.0000, 0.0000, 0.5000), Hg at (0.0000, 0.0000, 0.1290) and Hg at (0.0000, 0.0000, 0.3829).

The formation energy is -0.5141 eV/atom.

=====

No. 4
## TiB2Mo2Ru5 (PBE-GGA)

Data for a relaxed structure of TiB2Mo2Ru5.

The space group is P4/mbm (No. 127) and the conventional cell measures 9.356, 9.356 and 2.938 Å, with angles of 90.00, 90.00 and 90.00 degrees. Symmetry generates all atoms from Ti at (0.000, 0.000, 0.000), B at (0.124, 0.376, 0.000), Mo at (0.178, 0.678, 0.000), Ru at (0.000, 0.500, 0.500) and Ru at (0.070, 0.215, 0.500).

The formation energy is -0.3406 eV/atom.

=====

No. 5
## Ba5ZnHg2 (PBE-GGA)

Data for a relaxed structure of Ba5ZnHg2.

The space group is Pbam (No. 55) and the conventional cell measures 7.660, 14.647 and 5.909 Å, with angles of 90.00, 90.00 and 90.00 degrees. Symmetry generates all atoms from Ba at (0.000, 0.000, 0.000), Ba at (0.153, 0.288, 0.000), Ba at (0.168, 0.603, 0.500), Zn at (0.000, 0.500, 0.000) and Hg at (0.134, 0.864, 0.500).

The formation energy is -0.2694 eV/atom.

=====

No. 6
## Y2TmTl2Zn2 (PBE-GGA)

Data for a relaxed structure of Y2TmTl2Zn2.

The space group is R-3m (No. 166, hexagonal axes) and the conventional cell measures 4.7190, 4.7190 and 27.4344 Å, with angles of 90.00, 90.00 and 120.00 degrees. Symmetry generates all atoms from Y at (0.0000, 0.0000, 0.1260), Tm at (0.0000, 0.0000, 0.0000), Tl at (0.0000, 0.0000, 0.2624) and Zn at (0.0000, 0.0000, 0.3884).

The formation energy is -0.1537 eV/atom.